Entry from the Alexandria database: a relaxed structure of Sr2MgIrC (GGA-PBE).

Cell: 5.588 5.588 3.914 Å, 90.00 90.00 90.00°
Space group P4/mmm (No. 123)
Symmetry-distinct sites (fractional):
Sr  0.000  0.500  0.000 x2
Mg  0.000  0.000  0.500 x1
Ir  0.500  0.500  0.500 x1
C  0.500  0.500  0.000 x1

- Total energy: -4.712 eV per atom

***

Entry from the Alexandria database: a relaxed structure of ScMn (GGA-PBE).

Cell: 4.5231 4.5231 4.1510 Å, 90.00 90.00 120.00°
Space group P6_3/mmc (No. 194)
Symmetry-distinct sites (fractional):
Sc  0.3333  0.6667  0.2500 x2
Mn  0.0000  0.0000  0.0000 x2

- Total energy: -7.540 eV per atom

***

Entry from the Alexandria database: a relaxed structure of HfMnVRu (GGA-PBE).

Cell: 6.157 6.157 6.157 Å, 90.00 90.00 90.00°
Space group F-43m (No. 216)
Symmetry-distinct sites (fractional):
Hf  0.000  0.000  0.000 x4
Mn  0.250  0.250  0.750 x4
V  0.000  0.000  0.500 x4
Ru  0.250  0.250  0.250 x4

- Total energy: -9.689 eV per atom

***

Entry from the Alexandria database: a relaxed structure of LiAsN2 (GGA-PBE).

Cell: 2.9567 2.9567 17.5682 Å, 90.00 90.00 120.00°
Space group R-3m (No. 166, hexagonal axes)
Symmetry-distinct sites (fractional):
Li  0.0000  0.0000  0.0000 x3
As  0.0000  0.0000  0.5000 x3
N  0.0000  0.0000  0.1074 x6

- E_form (uncorrected): 0.233 eV/atom
- Total energy: -5.571 eV per atom

***

| no. | size of the total moment (μB/f.u.) |
| --- | --- |
| 1 | 0.00 |
| 2 | 0.76 |
| 3 | 0.00 |
| 4 | 0.00 |